Li3CrPCO7 after structural relaxation. Source: Alexandria, functional PBE with a Hubbard U.

Raw total energy ... -6.85 eV/atom
DOS at the Fermi energy ... 0.00 states/eV per cell
Crystal system ... monoclinic
Distance to the lowest polymorph of the same formula ... 0.00 eV/f.u.

Unit cell a=5.0635 b=6.1799 c=9.3519 alpha=90.00 beta=101.99 gamma=90.00
Space group P2_1 (No. 4)
One atom of each set of equivalent atoms:
1 Li 0.1060 0.0000 0.0782
2 Li 0.1638 0.6919 0.4064
3 Li 0.2670 0.9349 0.7058
4 Cr 0.3526 0.4209 0.7224
5 P 0.2633 0.1977 0.3967
6 C 0.4313 0.6510 0.0208
7 O 0.1328 0.4023 0.3225
8 O 0.1416 0.9887 0.3145
9 O 0.1839 0.6930 0.0182
10 O 0.2270 0.1896 0.5595
11 O 0.3821 0.1586 0.8586
12 O 0.4219 0.6931 0.5985
13 O 0.4838 0.1007 0.0975